VASP calculation (GGA-PBE) on crystalline Tb2NdI at its relaxed geometry.

Calculated values
formation energy from raw total energies: -0.059 eV/atom
symmetry: R-3m (166)
N(E_F): 7.56 states/eV/cell

Geometry as extended XYZ:
```
4
Lattice="1.810 1.045 11.799 -1.810 1.045 11.799 0.000 -2.091 11.799" Properties=species:S:1:pos:R:3 pbc="T T T"
Tb 0.000 0.000 3.406
Tb 0.000 0.000 31.992
Nd 0.000 0.000 0.000
I 0.000 0.000 17.699
```

***

VASP calculation (GGA-PBE) on crystalline Be2BN at its relaxed geometry.

Calculated values
formation energy from raw total energies: -0.442 eV/atom
symmetry: P1 (1)

Geometry as extended XYZ:
```
8
Lattice="3.007 0.000 0.000 -0.469 4.430 0.000 -1.291 -1.872 4.594" Properties=species:S:1:pos:R:3 pbc="T T T"
Be 0.000 0.000 0.000
Be -0.652 0.253 2.693
Be 0.689 2.602 1.198
Be 0.792 0.309 4.186
B -0.764 2.299 2.448
B 0.771 1.630 2.859
N -0.711 -0.344 4.424
N 2.168 3.480 1.394
```

***

VASP calculation (GGA-PBE) on crystalline Ac3Tl2Pd8Pb at its relaxed geometry.

Calculated values
formation energy: -0.503 eV/atom
symmetry: P-3m1 (164)
N(E_F): 7.78 states/eV/cell

Geometry as extended XYZ:
```
14
Lattice="5.728 0.000 0.000 -2.864 4.960 0.000 0.000 0.000 11.246" Properties=species:S:1:pos:R:3 pbc="T T T"
Ac 0.000 0.000 0.000
Ac 0.000 3.307 6.719
Ac 2.864 1.653 4.527
Tl 0.000 3.307 1.089
Tl 2.864 1.653 10.158
Pd 0.000 1.647 3.271
Pd -1.438 4.137 3.271
Pd 1.426 0.823 7.975
Pd 0.000 3.307 9.629
Pd 2.864 1.653 1.617
Pd 1.438 4.137 3.271
Pd 4.302 0.823 7.975
Pd 2.864 3.314 7.975
Pb 0.000 0.000 5.623
```

***

VASP calculation (GGA-PBE) on crystalline CrTeP at its relaxed geometry.

Calculated values
formation energy from raw total energies: 0.017 eV/atom
symmetry: P3m1 (156)
N(E_F): 2.37 states/eV/cell

Geometry as extended XYZ:
```
3
Lattice="3.551 0.000 0.000 -1.776 3.076 0.000 0.000 0.000 5.678" Properties=species:S:1:pos:R:3 pbc="T T T"
Cr 0.000 0.000 0.000
Te 0.000 2.050 3.891
P 1.776 1.025 1.053
```